The following is a DFT calculation (GGA-PBE) of FeBr after structural relaxation.

a b c (Å): 7.946 7.946 3.381
angles (deg): 90.00 90.00 155.43
Sites, in units of the cell vectors:
Br: 0.379 0.621 0.250
Br: 0.621 0.379 0.750
Fe: 0.780 0.220 0.750
Fe: 0.220 0.780 0.250

Values from the calculation:
**Density of states at the Fermi level**: 0.23 states/eV/atom
**Electronic total energy**: -4.998 eV/atom
**Magnetic moment**: 3.00 μB/f.u.
**V**: 88.8 Å³/cell
**Uncorrected formation energy**: 0.07 eV/atom